Entry 1:
Below is a relaxed Ac2PdRuO6 crystal, with properties calculated at the PBE-GGA level.

Cell and atoms, written as POSCAR:
```
Ac2PdRuO6
1.0
5.7450 0.0000 0.0000
0.0000 5.7450 0.0000
0.0000 0.0000 4.2501
Ac Pd Ru O
2 1 1 6
direct
0.0000 0.5000 0.0000
0.5000 0.0000 0.0000
0.0000 0.0000 0.5352
0.5000 0.5000 0.5413
0.0000 0.0000 0.0452
0.2586 0.2586 0.6119
0.2586 0.7414 0.6119
0.5000 0.5000 0.0657
0.7414 0.2586 0.6119
0.7414 0.7414 0.6119
```

Computed properties:
- D(E_F): 0.4119 states/eV per atom
- Crystal system: tetragonal
- Total energy: -0.52517 Ry/atom
- Formation energy from raw total energies: -19.0 eV/f.u.


Entry 2:
Below is a relaxed Ac2SbPdO6 crystal, with properties calculated at the PBE-GGA level.

Cell and atoms, written as POSCAR:
```
Ac2SbPdO6
1.0
5.9194 0.0000 0.0000
0.0000 5.9194 0.0000
0.0000 0.0000 4.5086
Ac Sb Pd O
2 1 1 6
direct
0.0000 0.5000 0.0000
0.5000 0.0000 0.0000
0.0000 0.0000 0.5778
0.5000 0.5000 0.5954
0.0000 0.0000 0.1369
0.2374 0.2374 0.6599
0.2374 0.7626 0.6599
0.5000 0.5000 0.0984
0.7626 0.2374 0.6599
0.7626 0.7626 0.6599
```

Computed properties:
- D(E_F): 0.1728 states/eV per atom
- Crystal system: tetragonal
- Total energy: -0.49364 Ry/atom
- Formation energy from raw total energies: -19.9 eV/f.u.


Entry 3:
Below is a relaxed AcScPdO4 crystal, with properties calculated at the PBE-GGA level.

Cell and atoms, written as POSCAR:
```
AcScPdO4
1.0
-2.8763 2.8763 3.3709
2.8763 -2.8763 3.3709
2.8763 2.8763 -3.3709
Ac Sc Pd O
1 1 1 4
direct
0.0000 0.0000 0.0000
0.5000 0.5000 0.0000
0.7500 0.2500 0.5000
0.1032 0.4788 0.9799
0.4989 0.1233 0.0201
0.5212 0.5011 0.6244
0.8767 0.8968 0.3756
```

Computed properties:
- Crystal system: tetragonal
- Total energy: -0.55124 Ry/atom
- Formation energy from raw total energies: -17.0 eV/f.u.


Entry 4:
Below is a relaxed Ac3Sc2PdO9 crystal, with properties calculated at the PBE-GGA level.

Cell and atoms, written as POSCAR:
```
Ac3Sc2PdO9
1.0
5.8177 0.0000 0.0000
-2.9088 5.0383 0.0000
0.0000 0.0000 7.1320
Ac Sc Pd O
3 2 1 9
direct
0.0000 0.0000 0.0000
0.3333 0.6667 0.6564
0.6667 0.3333 0.3436
0.3333 0.6667 0.1631
0.6667 0.3333 0.8369
0.0000 0.0000 0.5000
0.0000 0.5000 0.0000
0.1684 0.3369 0.3336
0.1684 0.8316 0.3336
0.3369 0.1684 0.6664
0.5000 0.0000 0.0000
0.5000 0.5000 0.0000
0.6631 0.8316 0.3336
0.8316 0.1684 0.6664
0.8316 0.6631 0.6664
```

Computed properties:
- D(E_F): 0.4185 states/eV per atom
- Crystal system: trigonal
- Total energy: -0.57563 Ry/atom
- Formation energy from raw total energies: -42.7 eV/f.u.


Entry 5:
Below is a relaxed Ac2ScPdO6 crystal, with properties calculated at the PBE-GGA level.

Cell and atoms, written as POSCAR:
```
Ac2ScPdO6
1.0
5.6996 0.0000 0.0000
0.0000 5.6996 0.0000
0.0000 0.0000 4.3424
Ac Sc Pd O
2 1 1 6
direct
0.0000 0.5000 0.0000
0.5000 0.0000 0.0000
0.0000 0.0000 0.5363
0.5000 0.5000 0.5716
0.0000 0.0000 0.0634
0.2504 0.2504 0.5934
0.2504 0.7496 0.5934
0.5000 0.5000 0.0739
0.7496 0.2504 0.5934
0.7496 0.7496 0.5934
```

Computed properties:
- D(E_F): 0.1300 states/eV per atom
- Crystal system: tetragonal
- Total energy: -0.55642 Ry/atom
- Formation energy from raw total energies: -26.2 eV/f.u.


Entry 6:
Below is a relaxed AcSc4Pd3O12 crystal, with properties calculated at the PBE-GGA level.

Cell and atoms, written as POSCAR:
```
AcSc4Pd3O12
1.0
-3.9511 3.9511 3.9511
3.9511 -3.9511 3.9511
3.9511 3.9511 -3.9511
Ac Sc Pd O
1 4 3 12
direct
0.0000 0.0000 0.0000
0.0000 0.0000 0.5000
0.0000 0.5000 0.0000
0.5000 0.0000 0.0000
0.5000 0.5000 0.5000
0.0000 0.5000 0.5000
0.5000 0.0000 0.5000
0.5000 0.5000 0.0000
0.1362 0.3056 0.8306
0.1694 0.4750 0.3056
0.1694 0.8638 0.6944
0.3056 0.1694 0.4750
0.3056 0.8306 0.1362
0.4750 0.3056 0.1694
0.5250 0.6944 0.8306
0.6944 0.1694 0.8638
0.6944 0.8306 0.5250
0.8306 0.1362 0.3056
0.8306 0.5250 0.6944
0.8638 0.6944 0.1694
```

Computed properties:
- D(E_F): 0.5059 states/eV per atom
- Crystal system: cubic
- Total energy: -0.55023 Ry/atom
- Formation energy from raw total energies: -45.2 eV/f.u.


Entry 7:
Below is a relaxed AcPdSe2O8 crystal, with properties calculated at the PBE-GGA level.

Cell and atoms, written as POSCAR:
```
AcPdSe2O8
1.0
5.6234 0.0000 0.0000
-2.8117 4.8700 0.0000
0.0000 0.0000 7.4355
Ac Pd Se O
1 1 2 8
direct
0.0000 0.0000 0.0000
0.0000 0.0000 0.5000
0.3333 0.6667 0.2125
0.6667 0.3333 0.7875
0.1669 0.3337 0.2795
0.1669 0.8331 0.2795
0.3333 0.6667 0.9847
0.3337 0.1669 0.7205
0.6663 0.8331 0.2795
0.6667 0.3333 0.0153
0.8331 0.1669 0.7205
0.8331 0.6663 0.7205
```

Computed properties:
- D(E_F): 0.2457 states/eV per atom
- Crystal system: trigonal
- Total energy: -0.42494 Ry/atom
- Formation energy from raw total energies: -13.4 eV/f.u.


Entry 8:
Below is a relaxed Ac2PdSe2O2 crystal, with properties calculated at the PBE-GGA level.

Cell and atoms, written as POSCAR:
```
Ac2PdSe2O2
1.0
-2.1682 2.1682 7.7600
2.1682 -2.1682 7.7600
2.1682 2.1682 -7.7600
Ac Pd Se O
2 1 2 2
direct
0.1137 0.1137 0.0000
0.8863 0.8863 0.0000
0.5000 0.5000 0.0000
0.3254 0.3254 0.0000
0.6746 0.6746 0.0000
0.0000 0.5000 0.5000
0.5000 0.0000 0.5000
```

Computed properties:
- D(E_F): 0.1850 states/eV per atom
- Crystal system: tetragonal
- Total energy: -0.45902 Ry/atom
- Formation energy from raw total energies: -13.4 eV/f.u.


Entry 9:
Below is a relaxed Ac2SmPdO5 crystal, with properties calculated at the PBE-GGA level.

Cell and atoms, written as POSCAR:
```
Ac2SmPdO5
1.0
6.9413 0.0000 0.0000
0.0000 6.9413 0.0000
0.0000 0.0000 6.0210
Ac Sm Pd O
4 2 2 10
direct
0.1632 0.3368 0.0000
0.3368 0.8368 0.0000
0.6632 0.1632 0.0000
0.8368 0.6632 0.0000
0.0000 0.0000 0.5000
0.5000 0.5000 0.5000
0.0000 0.5000 0.5000
0.5000 0.0000 0.5000
0.0000 0.0000 0.0000
0.1682 0.6682 0.2716
0.1682 0.6682 0.7284
0.3318 0.1682 0.2716
0.3318 0.1682 0.7284
0.5000 0.5000 0.0000
0.6682 0.8318 0.2716
0.6682 0.8318 0.7284
0.8318 0.3318 0.2716
0.8318 0.3318 0.7284
```

Computed properties:
- D(E_F): 0.1187 states/eV per atom
- Crystal system: tetragonal
- Total energy: -0.52373 Ry/atom
- Formation energy from raw total energies: -21.2 eV/f.u.


Entry 10:
Below is a relaxed Ac2SnPdO6 crystal, with properties calculated at the PBE-GGA level.

Cell and atoms, written as POSCAR:
```
Ac2SnPdO6
1.0
5.5550 -2.8142 0.0000
5.5550 2.8142 0.0000
-2.2540 0.0000 4.9050
Ac Sn Pd O
2 1 1 6
direct
0.2397 0.2397 0.2209
0.7603 0.7603 0.7791
0.5000 0.5000 0.0000
0.0000 0.0000 0.5000
0.1676 0.6784 0.1874
0.3073 0.3073 0.7130
0.3216 0.8324 0.8126
0.6784 0.1676 0.1874
0.6927 0.6927 0.2870
0.8324 0.3216 0.8126
```

Computed properties:
- D(E_F): 0.0000 states/eV per atom
- Crystal system: monoclinic
- Total energy: -0.51254 Ry/atom
- Formation energy from raw total energies: -22.6 eV/f.u.


Entry 11:
Below is a relaxed AcSnPdO6 crystal, with properties calculated at the PBE-GGA level.

Cell and atoms, written as POSCAR:
```
AcSnPdO6
1.0
5.4008 0.0000 0.0000
-2.7004 4.6772 0.0000
0.0000 0.0000 10.7582
Ac Sn Pd O
2 2 2 12
direct
0.0000 0.0000 0.0000
0.0000 0.0000 0.5000
0.3333 0.6667 0.2500
0.6667 0.3333 0.7500
0.3333 0.6667 0.7500
0.6667 0.3333 0.2500
0.0116 0.3747 0.6448
0.0116 0.6369 0.8552
0.3631 0.3747 0.8552
0.3631 0.9884 0.6448
0.3747 0.0116 0.1448
0.3747 0.3631 0.3552
0.6253 0.6369 0.6448
0.6253 0.9884 0.8552
0.6369 0.0116 0.3552
0.6369 0.6253 0.1448
0.9884 0.3631 0.1448
0.9884 0.6253 0.3552
```

Computed properties:
- D(E_F): 0.8173 states/eV per atom
- Crystal system: trigonal
- Total energy: -0.46808 Ry/atom
- Formation energy from raw total energies: -14.3 eV/f.u.


Entry 12:
Below is a relaxed Sr2AcPdO5 crystal, with properties calculated at the PBE-GGA level.

Cell and atoms, written as POSCAR:
```
Sr2AcPdO5
1.0
-3.3629 3.3629 6.2047
3.3629 -3.3629 6.2047
3.3629 3.3629 -6.2047
Sr Ac Pd O
4 2 2 10
direct
0.1666 0.6666 0.8332
0.3334 0.1666 0.5000
0.6666 0.8334 0.5000
0.8334 0.3334 0.1668
0.2500 0.2500 0.0000
0.7500 0.7500 0.0000
0.2500 0.7500 0.5000
0.7500 0.2500 0.5000
0.0000 0.0000 0.0000
0.0159 0.2085 0.5000
0.2085 0.7085 0.1926
0.2915 0.4841 0.5000
0.4841 0.9841 0.1926
0.5000 0.5000 0.0000
0.5159 0.0159 0.8074
0.7085 0.5159 0.5000
0.7915 0.2915 0.8074
0.9841 0.7915 0.5000
```

Computed properties:
- D(E_F): 0.5820 states/eV per atom
- Crystal system: tetragonal
- Total energy: -0.45438 Ry/atom
- Formation energy from raw total energies: -18.2 eV/f.u.